# 1
Here is MnCuP2 at its PBEsol-relaxed geometry from Alexandria via LeMat-Bulk. Energies are from SCAN.

Calculated values
formation energy from the elements	-1.2	kJ per mole of atoms

Unit cell a=2.7394 b=2.6390 c=6.8391 alpha=90.00 beta=90.20 gamma=90.00
Space group P2/m (No. 10)
Unique sites:
Mn (0.0000, 0.0000, 0.0000) (multiplicity 1)
Cu (0.5000, 0.0000, 0.5000) (multiplicity 1)
P (0.4984, 0.5000, 0.7975) (multiplicity 2)

***

# 2
Here is Li3Ag3Sn2 at its PBEsol-relaxed geometry from Alexandria via LeMat-Bulk. Energies are from SCAN.

Calculated values
formation energy from the elements	-29.0	kJ per mole of atoms

Unit cell a=4.6026 b=4.6026 c=22.5688 alpha=90.00 beta=90.00 gamma=120.00
Space group R3m (No. 160, hexagonal axes)
Unique sites:
Li (0.0000, 0.0000, 0.0000) (multiplicity 3)
Li (0.0000, 0.0000, 0.1260) (multiplicity 3)
Li (0.0000, 0.0000, 0.6219) (multiplicity 3)
Ag (0.0000, 0.0000, 0.3734) (multiplicity 3)
Ag (0.0000, 0.0000, 0.4982) (multiplicity 3)
Ag (0.0000, 0.0000, 0.8752) (multiplicity 3)
Sn (0.0000, 0.0000, 0.2501) (multiplicity 3)
Sn (0.0000, 0.0000, 0.7479) (multiplicity 3)

***

# 3
Here is CoCu2Br at its PBEsol-relaxed geometry from Alexandria via LeMat-Bulk. Energies are from SCAN.

Calculated values
formation energy from raw total energies	0.4300	eV/atom
energy above the lowest structure with this stoichiometry	0.000	kcal/mol of atoms

Unit cell a=2.8299 b=3.7813 c=11.3724 alpha=90.00 beta=90.00 gamma=90.00
Space group Imm2 (No. 44)
Unique sites:
Co (0.0000, 0.0000, 0.0000) (multiplicity 2)
Cu (0.0000, 0.0000, 0.5538) (multiplicity 2)
Cu (0.0000, 0.5000, 0.6812) (multiplicity 2)
Br (0.0000, 0.5000, 0.3318) (multiplicity 2)

***

# 4
Here is MgTe2W at its PBEsol-relaxed geometry from Alexandria via LeMat-Bulk. Energies are from SCAN.

Calculated values
formation energy from raw total energies	0.2444	eV/atom

Unit cell a=3.2468 b=4.7736 c=12.9918 alpha=90.00 beta=90.00 gamma=90.00
Space group Immm (No. 71)
Unique sites:
Mg (0.0000, 0.0000, 0.0000) (multiplicity 2)
Te (0.0000, 0.5000, 0.1652) (multiplicity 4)
W (0.0000, 0.0000, 0.5000) (multiplicity 2)

***

In Å³/f.u., the volume values for the records above are, in order, 49.4 138.0 60.8 100.7.
In states/eV/f.u., the N(E_F) values for the records above are, in order, 0.97 2.21 1.49 2.83.
In μB/cell, the magnetization values for the records above are, in order, 0.0 0.0 3.0 0.0.